Computed, not measured: a geometry-optimized Ba12Li5Al3 structure at the GGA-PBE level of DFT.

a = 20.1966 Å, b = 20.1966 Å, c = 20.1966 Å
α = 90.00°, β = 90.00°, γ = 90.00°
Space group Ia-3d (No. 230)
Inequivalent atoms, fractional coordinates:
Ba (0.0188, 0.0762, 0.6521)
Li (0.0000, 0.0000, 0.0000)
Li (0.0000, 0.2500, 0.3750)
Al (0.0000, 0.2500, 0.1250)

Results
**Formation energy from the elements**: 27.2 kJ per mole of atoms
**Total magnetic moment**: 0.000 μB per atom